[1]
Below is Rb3GePb4 after structural relaxation, with properties calculated at the PBE level.

The value obtained for the total energy is -46.74 eV for the cell shown. As for the formation energy: -0.127 eV/atom. The value obtained for the magnetic moment is 0.0000 μB per atom. The value obtained for the calculated density is 5688 kg/m3.

The space group is Pmmn (No. 59, origin choice 2) and the conventional cell measures 7.070, 13.840 and 6.909 Å, with angles of 90.00, 90.00 and 90.00 degrees. The distinct sites, in fractional coordinates, are Rb at (0.250, 0.001, 0.178), Rb at (0.250, 0.750, 0.540), Ge at (0.250, 0.250, 0.312), Pb at (0.007, 0.750, 0.027) and Pb at (0.250, 0.132, 0.669).



[2]
Below is ErMgAl4 after structural relaxation, with properties calculated at the PBE level.

The value obtained for the total energy is -90.40 eV for the cell shown. As for the formation energy: -0.245 eV/atom. The calculation puts the energy above the most stable polymorph in this dataset at 0.014 eV per atom. The value obtained for the magnetic moment is 0.0000 μB per atom. The value obtained for the calculated density is 4266 kg/m3.

The space group is F-43m (No. 216) and the conventional cell measures 7.755, 7.755 and 7.755 Å, with angles of 90.00, 90.00 and 90.00 degrees. The distinct sites, in fractional coordinates, are Er at (0.000, 0.000, 0.000), Mg at (0.250, 0.250, 0.250) and Al at (0.125, 0.125, 0.625).



Question: What is the calculated density in the second record?
Answer: 4266 kg/m3